No. 1
VASP calculation (PBE) on a relaxed structure of GdTmMgPd.

- Space-group type: F-43m
- Calculated volume: 23.8 A^3/atom
- Calculated formation energy: -0.400 eV/atom
- Electronic total energy: -26.94 eV per cell

Cell lengths 5.124, 5.124, 5.124 Å; angles 60.00, 60.00, 60.00 degrees
Sites, in units of the cell vectors:
Gd 0.000 0.000 0.000
Tm 0.500 0.500 0.500
Mg 0.250 0.250 0.250
Pd 0.750 0.750 0.750

No. 2
VASP calculation (PBE) on a relaxed structure of Cu2MoIr.

- Space-group type: Immm
- Calculated volume: 14.1 A^3/atom
- Calculated formation energy: 0.230 eV/atom
- Electronic total energy: -26.96 eV per cell
- ΔE to the lowest computed polymorph: 198 meV/atom

Cell lengths 5.233, 5.233, 5.233 Å; angles 149.08, 129.45, 60.45 degrees
Sites, in units of the cell vectors:
Cu 0.247 0.247 0.000
Cu 0.753 0.753 0.000
Mo 0.500 0.000 0.500
Ir 0.000 0.500 0.500

No. 3
VASP calculation (PBE) on a relaxed structure of CoCuSi2.

- Formation energy from raw total energies: -62 kJ/mol of formula units
- Space-group type: R-3m
- Calculated volume: 12.0 A^3/atom
- Electronic total energy: -22.69 eV per cell

Cell lengths 7.744, 7.744, 7.744 Å; angles 20.07, 20.07, 20.07 degrees
Sites, in units of the cell vectors:
Co 0.000 0.000 0.000
Cu 0.500 0.500 0.500
Si 0.255 0.255 0.255
Si 0.745 0.745 0.745

No. 4
VASP calculation (PBE) on a relaxed structure of TiCdFe.

- Space-group type: R-3m
- Calculated volume: 18.1 A^3/atom
- Calculated formation energy: 0.293 eV/atom
- Electronic total energy: -32.79 eV per cell

Cell lengths 7.149, 7.149, 7.149 Å; angles 35.24, 35.24, 35.24 degrees
Sites, in units of the cell vectors:
Ti 0.130 0.130 0.130
Ti 0.870 0.870 0.870
Cd 0.379 0.379 0.379
Cd 0.621 0.621 0.621
Fe 0.239 0.239 0.239
Fe 0.761 0.761 0.761

No. 5
VASP calculation (PBE) on a relaxed structure of BiPbCl3.

- Formation energy from raw total energies: -159 kJ/mol of formula units
- Space-group type: Pm-3m
- Calculated volume: 34.7 A^3/atom
- Electronic total energy: -14.78 eV per cell
- ΔE to the lowest computed polymorph: 56 meV/atom

Cell lengths 5.576, 5.576, 5.576 Å; angles 90.00, 90.00, 90.00 degrees
Sites, in units of the cell vectors:
Bi 0.000 0.000 0.000
Pb 0.500 0.500 0.500
Cl 0.000 0.000 0.500
Cl 0.000 0.500 0.000
Cl 0.500 0.000 0.000

No. 6
VASP calculation (PBE) on a relaxed structure of NdDyY2Tm2.

- Space-group type: Pnnm
- Calculated volume: 32.9 A^3/atom
- Calculated formation energy: 0.272 eV/atom
- Electronic total energy: -59.22 eV per cell

Cell lengths 6.490, 17.836, 3.407 Å; angles 90.00, 90.00, 90.00 degrees
Sites, in units of the cell vectors:
Nd 0.000 0.000 0.000
Nd 0.500 0.500 0.500
Dy 0.000 0.500 0.000
Dy 0.500 0.000 0.500
Y 0.220 0.188 0.000
Y 0.280 0.688 0.500
Y 0.720 0.312 0.500
Y 0.780 0.812 0.000
Tm 0.218 0.353 0.500
Tm 0.282 0.853 0.000
Tm 0.718 0.147 0.000
Tm 0.782 0.647 0.500

No. 7
VASP calculation (PBE) on a relaxed structure of Y4CoAg3.

- Space-group type: P4/mmm
- Calculated volume: 22.9 A^3/atom
- Calculated formation energy: -0.272 eV/atom
- Electronic total energy: -43.70 eV per cell

Cell lengths 3.545, 3.545, 14.586 Å; angles 90.00, 90.00, 90.00 degrees
Sites, in units of the cell vectors:
Y 0.000 0.000 0.111
Y 0.000 0.000 0.371
Y 0.000 0.000 0.629
Y 0.000 0.000 0.889
Co 0.500 0.500 0.000
Ag 0.500 0.500 0.243
Ag 0.500 0.500 0.500
Ag 0.500 0.500 0.757

No. 8
VASP calculation (PBE) on a relaxed structure of CsCdPb2.

- Space-group type: R-3m
- Calculated volume: 41.0 A^3/atom
- Calculated formation energy: -0.064 eV/atom
- Electronic total energy: -9.44 eV per cell

Cell lengths 7.984, 7.984, 7.984 Å; angles 36.84, 36.84, 36.84 degrees
Sites, in units of the cell vectors:
Cs 0.000 0.000 0.000
Cd 0.500 0.500 0.500
Pb 0.212 0.212 0.212
Pb 0.788 0.788 0.788

No. 9
VASP calculation (PBE) on a relaxed structure of Sm6Dy2HoTh.

- Space-group type: C2/c
- Calculated volume: 33.3 A^3/atom
- Calculated formation energy: 0.148 eV/atom
- Electronic total energy: -96.08 eV per cell

Cell lengths 8.810, 8.810, 9.656 Å; angles 93.92, 93.92, 116.32 degrees
Sites, in units of the cell vectors:
Sm 0.012 0.573 0.186
Sm 0.112 0.759 0.558
Sm 0.241 0.888 0.942
Sm 0.296 0.514 0.382
Sm 0.427 0.988 0.314
Sm 0.486 0.704 0.118
Sm 0.514 0.296 0.882
Sm 0.573 0.012 0.686
Sm 0.704 0.486 0.618
Sm 0.759 0.112 0.058
Sm 0.888 0.241 0.442
Sm 0.988 0.427 0.814
Dy 0.201 0.294 0.051
Dy 0.294 0.201 0.551
Dy 0.706 0.799 0.449
Dy 0.799 0.706 0.949
Ho 0.408 0.592 0.750
Ho 0.592 0.408 0.250
Th 0.029 0.971 0.250
Th 0.971 0.029 0.750

No. 10
VASP calculation (PBE) on a relaxed structure of PmPrNi17.

- Space-group type: R3m
- Calculated volume: 12.9 A^3/atom
- Calculated formation energy: -0.160 eV/atom
- Electronic total energy: -110.85 eV per cell

Cell lengths 6.300, 6.300, 6.300 Å; angles 83.20, 83.20, 83.20 degrees
Sites, in units of the cell vectors:
Pm 0.000 0.000 0.000
Pr 0.681 0.681 0.681
Ni 0.051 0.340 0.630
Ni 0.051 0.630 0.340
Ni 0.188 0.684 0.684
Ni 0.241 0.241 0.241
Ni 0.340 0.051 0.630
Ni 0.340 0.340 0.840
Ni 0.340 0.630 0.051
Ni 0.340 0.840 0.340
Ni 0.438 0.438 0.438
Ni 0.492 0.997 0.997
Ni 0.630 0.051 0.340
Ni 0.630 0.340 0.051
Ni 0.684 0.188 0.684
Ni 0.684 0.684 0.188
Ni 0.840 0.340 0.340
Ni 0.997 0.492 0.997
Ni 0.997 0.997 0.492

No. 11
VASP calculation (PBE) on a relaxed structure of ZrTaMo2.

- Space-group type: Immm
- Calculated volume: 17.8 A^3/atom
- Calculated formation energy: 0.031 eV/atom
- Electronic total energy: -41.94 eV per cell
- ΔE to the lowest computed polymorph: 105 meV/atom

Cell lengths 5.350, 5.350, 5.350 Å; angles 144.26, 126.27, 66.22 degrees
Sites, in units of the cell vectors:
Zr 0.000 0.000 0.000
Ta 0.500 0.500 0.000
Mo 0.256 0.756 0.500
Mo 0.744 0.244 0.500

No. 12
VASP calculation (PBE) on a relaxed structure of LiCaInAs2.

- Space-group type: C2/m
- Calculated volume: 25.6 A^3/atom
- Calculated formation energy: -0.668 eV/atom
- Electronic total energy: -38.58 eV per cell

Cell lengths 7.295, 7.295, 8.675 Å; angles 98.45, 98.45, 34.12 degrees
Sites, in units of the cell vectors:
Li 0.177 0.177 0.058
Li 0.823 0.823 0.942
Ca 0.188 0.188 0.688
Ca 0.812 0.812 0.312
In 0.441 0.441 0.805
In 0.559 0.559 0.195
As 0.146 0.146 0.347
As 0.370 0.370 0.099
As 0.630 0.630 0.901
As 0.854 0.854 0.653

Respective magnetization values: 7.2; 0.0; 0.0; 0.2; 1.3; 0.0; 0.7; 0.0; 0.0; 7.2; 0.0; 0.0 μB/f.u..